1.
Here is ZrTe5 after structural relaxation from Alexandria. Energies are from PBEsol.

```
data_ZrTe5
_symmetry_space_group_name_H-M 'C 1 m 1'
_symmetry_Int_Tables_number 8
_symmetry_space_group_name_Hall 'C -2y'
_cell_length_a 11.012
_cell_length_b 3.790
_cell_length_c 8.254
_cell_angle_alpha 90.00
_cell_angle_beta 99.52
_cell_angle_gamma 90.00
loop_
_atom_site_label
_atom_site_type_symbol
_atom_site_fract_x
_atom_site_fract_y
_atom_site_fract_z
_atom_site_occupancy
Zr1 Zr 0.000 0.000 0.000 1
Te1 Te 0.039 0.500 0.735 1
Te2 Te 0.112 0.500 0.252 1
Te3 Te 0.288 0.000 0.603 1
Te4 Te 0.289 0.000 0.957 1
Te5 Te 0.384 0.500 0.306 1
```

As for the total energy: -4.83 eV/atom. As for the energy above the most stable polymorph in this dataset: 119 meV/atom. The calculation puts the raw formation energy at -2.27 eV/f.u. The total moment comes out at 0.000 μB/atom.

2.
Here is Zr2Te after structural relaxation from Alexandria. Energies are from PBEsol.

```
data_Zr2Te
_symmetry_space_group_name_H-M 'I 41/a m d'
_symmetry_Int_Tables_number 141
_cell_length_a 3.414
_cell_length_b 3.414
_cell_length_c 24.185
_cell_angle_alpha 90.00
_cell_angle_beta 90.00
_cell_angle_gamma 90.00
loop_
_symmetry_equiv_pos_as_xyz
'x,y,z'
'-x,-y,-z'
'-y+1/4,x+3/4,z+1/4'
'y+1/4,-x+3/4,-z+1/4'
'-x+1/2,-y,z+1/2'
'x+1/2,y,-z+1/2'
'y+1/4,-x+1/4,z+3/4'
'-y+1/4,x+1/4,-z+3/4'
'x,-y,-z'
'-x,y,z'
'-y+1/4,-x+1/4,-z+3/4'
'y+1/4,x+1/4,z+3/4'
'-x+1/2,y,-z+1/2'
'x+1/2,-y,z+1/2'
'y+1/4,x+3/4,-z+1/4'
'-y+1/4,-x+3/4,z+1/4'
'x+1/2,y+1/2,z+1/2'
'-x+1/2,-y+1/2,-z+1/2'
'-y+3/4,x+1/4,z+3/4'
'y+3/4,-x+1/4,-z+3/4'
'-x,-y+1/2,z'
'x,y+1/2,-z'
'y+3/4,-x+3/4,z+1/4'
'-y+3/4,x+3/4,-z+1/4'
'x+1/2,-y+1/2,-z+1/2'
'-x+1/2,y+1/2,z+1/2'
'-y+3/4,-x+3/4,-z+1/4'
'y+3/4,x+3/4,z+1/4'
'-x,y+1/2,-z'
'x,-y+1/2,z'
'y+3/4,x+1/4,-z+3/4'
'-y+3/4,-x+1/4,z+3/4'
loop_
_atom_site_label
_atom_site_type_symbol
_atom_site_fract_x
_atom_site_fract_y
_atom_site_fract_z
_atom_site_occupancy
Zr1 Zr 0.000 0.250 0.303 1
Te1 Te 0.000 0.250 0.875 1
```

As for the total energy: -7.48 eV/atom. The calculation puts the raw formation energy at -0.73 eV/f.u. The total moment comes out at 0.000 μB/atom.

3.
Here is Zr2Te3 after structural relaxation from Alexandria. Energies are from PBEsol.

```
data_Zr2Te3
_symmetry_space_group_name_H-M 'R -3'
_symmetry_Int_Tables_number 148
_symmetry_space_group_name_Hall '-R 3'
_cell_length_a 6.8375
_cell_length_b 6.8375
_cell_length_c 20.1545
_cell_angle_alpha 90.00
_cell_angle_beta 90.00
_cell_angle_gamma 120.00
loop_
_atom_site_label
_atom_site_type_symbol
_atom_site_fract_x
_atom_site_fract_y
_atom_site_fract_z
_atom_site_occupancy
Zr1 Zr 0.0000 0.0000 0.0000 1
Zr2 Zr 0.0000 0.0000 0.1607 1
Zr3 Zr 0.0000 0.0000 0.5000 1
Te1 Te 0.0035 0.6514 0.9227 1
```

As for the total energy: -6.68 eV/atom. The calculation puts the raw formation energy at -4.65 eV/f.u. The total moment comes out at 0.000 μB/atom.

4.
Here is Zr2Te3 after structural relaxation from Alexandria. Energies are from PBEsol.

```
data_Zr2Te3
_symmetry_space_group_name_H-M 'P -3 m 1'
_symmetry_Int_Tables_number 164
_symmetry_space_group_name_Hall '-P 3 2"'
_cell_length_a 5.0361
_cell_length_b 5.0361
_cell_length_c 5.9195
_cell_angle_alpha 90.00
_cell_angle_beta 90.00
_cell_angle_gamma 120.00
loop_
_atom_site_label
_atom_site_type_symbol
_atom_site_fract_x
_atom_site_fract_y
_atom_site_fract_z
_atom_site_occupancy
Zr1 Zr 0.3333 0.6667 0.3330 1
Te1 Te 0.0000 0.0000 0.5000 1
Te2 Te 0.3333 0.6667 0.8193 1
```

As for the total energy: -6.44 eV/atom. The calculation puts the raw formation energy at -3.43 eV/f.u. The total moment comes out at 0.000 μB/atom.

Repeat the first record exactly.
Here is ZrTe5 after structural relaxation from Alexandria. Energies are from PBEsol.

```
data_ZrTe5
_symmetry_space_group_name_H-M 'C 1 m 1'
_symmetry_Int_Tables_number 8
_symmetry_space_group_name_Hall 'C -2y'
_cell_length_a 11.012
_cell_length_b 3.790
_cell_length_c 8.254
_cell_angle_alpha 90.00
_cell_angle_beta 99.52
_cell_angle_gamma 90.00
loop_
_atom_site_label
_atom_site_type_symbol
_atom_site_fract_x
_atom_site_fract_y
_atom_site_fract_z
_atom_site_occupancy
Zr1 Zr 0.000 0.000 0.000 1
Te1 Te 0.039 0.500 0.735 1
Te2 Te 0.112 0.500 0.252 1
Te3 Te 0.288 0.000 0.603 1
Te4 Te 0.289 0.000 0.957 1
Te5 Te 0.384 0.500 0.306 1
```

As for the total energy: -4.83 eV/atom. As for the energy above the most stable polymorph in this dataset: 119 meV/atom. The calculation puts the raw formation energy at -2.27 eV/f.u. The total moment comes out at 0.000 μB/atom.